Entry 1:
VASP calculation (PBE-GGA) on crystalline InHSe2Br at its relaxed geometry.

Cell and atoms, written as CIF:
```
data_InHSe2Br
_symmetry_space_group_name_H-M 'P 4/m m m'
_symmetry_Int_Tables_number 123
_symmetry_space_group_name_Hall '-P 4 2'
_cell_length_a 4.084
_cell_length_b 4.084
_cell_length_c 6.609
_cell_angle_alpha 90.00
_cell_angle_beta 90.00
_cell_angle_gamma 90.00
loop_
_atom_site_label
_atom_site_type_symbol
_atom_site_fract_x
_atom_site_fract_y
_atom_site_fract_z
In1 In 0.000 0.000 0.000
H1 H 0.500 0.500 0.500
Se1 Se 0.000 0.500 0.500
Br1 Br 0.500 0.500 0.000
```

Properties
Raw total energy: -2.791 eV per atom
Density: 5326 kg/m³
Total magnetic moment: 0.00 μB/cell


Entry 2:
VASP calculation (PBE-GGA) on crystalline AlAs2P at its relaxed geometry.

Cell and atoms, written as CIF:
```
data_AlAs2P
_symmetry_space_group_name_H-M 'C 1 2/m 1'
_symmetry_Int_Tables_number 12
_cell_length_a 11.175
_cell_length_b 3.761
_cell_length_c 3.797
_cell_angle_alpha 90.00
_cell_angle_beta 109.46
_cell_angle_gamma 90.00
loop_
_symmetry_equiv_pos_as_xyz
'x,y,z'
'-x,-y,-z'
'-x,y,-z'
'x,-y,z'
'x+1/2,y+1/2,z'
'-x+1/2,-y+1/2,-z'
'-x+1/2,y+1/2,-z'
'x+1/2,-y+1/2,z'
loop_
_atom_site_label
_atom_site_type_symbol
_atom_site_fract_x
_atom_site_fract_y
_atom_site_fract_z
Al1 Al 0.000 0.000 0.000
As1 As 0.246 0.500 0.778
P1 P 0.000 0.500 0.500
```

Properties
Formation energy from the elements: -0.025 eV per atom
Density: 4585 kg/m³
Total magnetic moment: 0.00 μB/cell


The records above yield density of states at the Fermi level values of 0.801, 0.208 states/eV per atom, respectively.